The following is a DFT calculation (PBE) of a relaxed structure of Cd5Co.

Lattice parameters (Å, degrees): 5.6235 5.6235 5.6235 60.00 60.00 60.00
Site moments in Bohr magnetons follow the coordinates.
Sites, in units of the cell vectors:
Cd 0.8764 0.3745 0.3745  -0.01
Cd 0.7500 0.7500 0.7500  0.00
Cd 0.3745 0.8764 0.3745  -0.01
Cd 0.3745 0.3745 0.3745  -0.01
Cd 0.3745 0.3745 0.8764  -0.01
Co 0.0000 0.0000 0.0000  1.60

Results
Crystal system: cubic
Raw total energy: -0.1111 Ry/atom
Size of the total moment: 1.4 μB/f.u.
SG: F-43m (216)